Version P
# DyHoNiAu

DyHoNiAu after structural relaxation (PBE, the Alexandria database).

a b c (Å): 3.750 4.515 5.543
angles (deg): 90.00 109.77 90.00
Element x y z (fractional)
Au: 0.579 0.500 0.158
Ni: 0.418 0.000 0.836
Dy: 0.142 0.000 0.284
Ho: 0.862 0.500 0.723

Crystal system   orthorhombic
Magnetic moment   0.0 Bohr magnetons per cell
SG   Amm2

Version Q
# DyHoNiAu

DyHoNiAu after structural relaxation (PBE, the Alexandria database).

a b c (Å): 4.944 4.944 4.944
angles (deg): 60.00 60.00 60.00
Element x y z (fractional)
Ni: 0.250 0.250 0.250
Ho: 0.000 0.000 0.000
Au: 0.750 0.750 0.750
Dy: 0.500 0.500 0.500

Crystal system   cubic
Magnetic moment   0.0 Bohr magnetons per cell
SG   F-43m

Relative calculated energies, zero for the most stable structure, unit kJ/mol of atoms: version P 0.0; version Q 5.0.

Version P
# DyHoPtAu

DyHoPtAu after structural relaxation (PBE, the Alexandria database).

a b c (Å): 5.002 5.002 5.002
angles (deg): 60.00 60.00 60.00
Element x y z (fractional)
Ho: 0.000 0.000 0.000
Au: 0.250 0.250 0.250
Pt: 0.750 0.750 0.750
Dy: 0.500 0.500 0.500

Crystal system   cubic
Magnetic moment   0.0 Bohr magnetons per cell
SG   F-43m

Version Q
# DyHoPtAu

DyHoPtAu after structural relaxation (PBE, the Alexandria database).

a b c (Å): 3.757 4.587 5.655
angles (deg): 90.00 109.40 90.00
Element x y z (fractional)
Au: 0.587 0.500 0.175
Dy: 0.139 0.000 0.278
Pt: 0.411 0.000 0.821
Ho: 0.863 0.500 0.726

Crystal system   orthorhombic
Magnetic moment   0.0 Bohr magnetons per cell
SG   Amm2

Relative calculated energies, zero for the most stable structure, unit kJ/mol of atoms: version P 4.8; version Q 0.0.

Version P
# DyHoRuAu

DyHoRuAu after structural relaxation (PBE, the Alexandria database).

a b c (Å): 4.938 4.938 4.938
angles (deg): 60.00 60.00 60.00
Element x y z (fractional)
Ru: 0.000 0.000 0.000
Ho: 0.750 0.750 0.750
Au: 0.500 0.500 0.500
Dy: 0.250 0.250 0.250

Crystal system   cubic
Magnetic moment   0.0 Bohr magnetons per cell
SG   F-43m

Version Q
# DyHoRuAu

DyHoRuAu after structural relaxation (PBE, the Alexandria database).

a b c (Å): 3.430 3.430 7.265
angles (deg): 90.00 90.00 90.00
Element x y z (fractional)
Ho: 0.000 0.000 0.377
Ru: 0.500 0.500 0.605
Au: 0.500 0.500 0.109
Dy: 0.000 0.000 0.837

Crystal system   tetragonal
Magnetic moment   0.0 Bohr magnetons per cell
SG   P4mm

Relative calculated energies, zero for the most stable structure, unit kJ/mol of atoms: version P 6.8; version Q 0.0.

Version P
# DyIn2Au8

DyIn2Au8 after structural relaxation (PBE, the Alexandria database).

a b c (Å): 4.734 8.121 7.507
angles (deg): 124.11 108.38 90.00
Element x y z (fractional)
Au: 0.682 0.887 0.363
Au: 0.170 0.276 0.339
Au: 0.053 0.821 0.106
Au: 0.575 0.429 0.150
In: 0.193 0.662 0.385
Au: 0.318 0.113 0.637
Dy: 0.500 0.000 0.000
Au: 0.947 0.179 0.894
In: 0.807 0.338 0.615
Au: 0.425 0.571 0.850
Au: 0.830 0.724 0.661

Crystal system   monoclinic
Magnetic moment   0.0 Bohr magnetons per cell
SG   C2/m

Version Q
# DyIn2Au8

DyIn2Au8 after structural relaxation (PBE, the Alexandria database).

a b c (Å): 4.192 6.825 8.135
angles (deg): 105.49 104.93 90.00
Element x y z (fractional)
Au: 0.960 0.277 0.920
Au: 0.677 0.911 0.353
Au: 0.139 0.190 0.278
In: 0.222 0.658 0.443
Au: 0.323 0.089 0.647
Au: 0.040 0.723 0.080
Au: 0.405 0.543 0.810
Dy: 0.500 0.000 0.000
Au: 0.861 0.810 0.722
Au: 0.595 0.457 0.190
In: 0.778 0.342 0.557

Crystal system   monoclinic
Magnetic moment   0.0 Bohr magnetons per cell
SG   C2/m

Relative calculated energies, zero for the most stable structure, unit kJ/mol of atoms: version P 0.0; version Q 0.7.